YSb2Rh2: PBEsol geometry, SCAN.

CIF file:
```
data_YSb2Rh2
_chemical_formula_sum 'Y2 Sb4 Rh4'
_cell_length_a 4.285
_cell_length_b 4.285
_cell_length_c 11.142
_cell_angle_alpha 90.00
_cell_angle_beta 90.00
_cell_angle_gamma 90.00
_space_group_name_H-M_alt 'I 4/m m m'
_space_group_IT_number 139
_space_group_name_Hall '-I 4 2'
loop_
_atom_site_label
_atom_site_type_symbol
_atom_site_fract_x
_atom_site_fract_y
_atom_site_fract_z
Y1 Y 0.000 0.000 0.000
Sb1 Sb 0.000 0.000 0.376
Rh1 Rh 0.000 0.500 0.250
```

Values from the calculation:
E_form (uncorrected): -0.742 eV per atom
V: 102 Å³/f.u.